Computed, not measured: a relaxed LaNd2Ag4 crystal at the PBE level of DFT.

Cell lengths 6.424, 6.424, 6.424 Å; angles 114.73, 106.91, 106.91 degrees
Fractional positions:
Ag 0.500 0.000 0.000
Ag 0.000 0.000 0.500
Nd 0.500 0.500 0.000
Nd 0.500 0.000 0.500
La 0.000 0.000 0.000
Ag 0.000 0.500 0.000
Ag 0.500 0.500 0.500

Properties
**Symmetry**: No. 139
**E_form**: -0.05 eV/atom
**N(E_F)**: 0.91 states/eV/atom
**Total DFT energy (no corrections)**: -26.25 eV/cell



Computed, not measured: a relaxed HfNb2Pd crystal at the PBE level of DFT.

Cell lengths 3.357, 3.357, 6.511 Å; angles 90.00, 90.00, 90.00 degrees
Fractional positions:
Hf 0.000 0.000 0.502
Nb 0.500 0.500 0.238
Pd 0.500 0.500 0.749
Nb 0.000 0.000 0.011

Properties
**Symmetry**: No. 99
**E_form**: -0.26 eV/atom
**N(E_F)**: 0.94 states/eV/atom
**Excess energy over the best structure of this formula in the dataset**: 0.000 eV per atom
**Total DFT energy (no corrections)**: -36.32 eV/cell



Computed, not measured: a relaxed YMgGa2Pt2 crystal at the PBE level of DFT.

Cell lengths 4.413, 4.413, 6.572 Å; angles 90.00, 90.00, 120.00 degrees
Fractional positions:
Pt 0.333 0.667 0.722
Ga 0.333 0.667 0.291
Y 0.000 0.000 0.000
Pt 0.667 0.333 0.278
Ga 0.667 0.333 0.709
Mg 0.000 0.000 0.500

Properties
**Symmetry**: No. 164
**E_form**: -0.92 eV/atom
**N(E_F)**: 0.57 states/eV/atom
**Total DFT energy (no corrections)**: -31.69 eV/cell



Computed, not measured: a relaxed V2NiHRh crystal at the PBE level of DFT.

Cell lengths 3.745, 3.745, 3.831 Å; angles 90.00, 90.00, 90.00 degrees
Fractional positions:
H 0.000 0.000 0.000
V 0.500 0.000 0.000
Rh 0.000 0.000 0.500
V 0.000 0.500 0.000
Ni 0.500 0.500 0.500

Properties
**Symmetry**: No. 123
**N(E_F)**: 0.64 states/eV/atom
**Excess energy over the best structure of this formula in the dataset**: 0.041 eV per atom
**Total DFT energy (no corrections)**: -35.80 eV/cell